(1)
# CuRhBr4

A relaxed structure of CuRhBr4 (GGA-PBE, Alexandria).

Properties
raw formation energy: 1.24 eV per atom

The structure in CIF format:
```
data_CuRhBr4
_chemical_formula_sum 'Cu1 Rh1 Br4'
_space_group_name_H-M_alt 'P 1'
_space_group_IT_number 1
_cell_length_a 6.1396
_cell_length_b 6.1396
_cell_length_c 6.1396
_cell_angle_alpha 60.00
_cell_angle_beta 60.00
_cell_angle_gamma 60.00
loop_
_space_group_symop_operation_xyz
'x,y,z'
loop_
_atom_site_label
_atom_site_fract_x
_atom_site_fract_y
_atom_site_fract_z
_atom_site_occupancy
Rh1 0.0000 0.0000 0.0000 1
Br1 0.3748 0.8756 0.3748 1
Br2 0.3748 0.3748 0.8756 1
Br3 0.8756 0.3748 0.3748 1
Br4 0.3748 0.3748 0.3748 1
Cu1 0.7500 0.7500 0.7500 1
```

(2)
# ScSnTe3

A relaxed structure of ScSnTe3 (GGA-PBE, Alexandria).

Properties
raw formation energy: 0.27 eV per atom

The structure in CIF format:
```
data_ScSnTe3
_chemical_formula_sum 'Sc1 Sn1 Te3'
_space_group_name_H-M_alt 'P 1'
_space_group_IT_number 1
_cell_length_a 5.6164
_cell_length_b 5.6164
_cell_length_c 5.6164
_cell_angle_alpha 90.00
_cell_angle_beta 90.00
_cell_angle_gamma 90.00
loop_
_space_group_symop_operation_xyz
'x,y,z'
loop_
_atom_site_label
_atom_site_fract_x
_atom_site_fract_y
_atom_site_fract_z
_atom_site_occupancy
Sn1 0.0000 0.0000 0.0000 1
Te1 0.0000 0.0000 0.5000 1
Te2 0.5000 0.0000 0.0000 1
Te3 0.0000 0.5000 0.0000 1
Sc1 0.5000 0.5000 0.5000 1
```

(3)
# IrPdC2F

A relaxed structure of IrPdC2F (GGA-PBE, Alexandria).

Properties
raw formation energy: 2.52 eV per atom

The structure in CIF format:
```
data_IrPdC2F
_chemical_formula_sum 'Ir1 Pd1 C2 F1'
_space_group_name_H-M_alt 'P 1'
_space_group_IT_number 1
_cell_length_a 3.9547
_cell_length_b 3.9148
_cell_length_c 3.9547
_cell_angle_alpha 90.00
_cell_angle_beta 90.00
_cell_angle_gamma 90.00
loop_
_space_group_symop_operation_xyz
'x,y,z'
loop_
_atom_site_label
_atom_site_fract_x
_atom_site_fract_y
_atom_site_fract_z
_atom_site_occupancy
C1 0.5000 0.0000 0.0000 1
C2 0.0000 0.0000 0.5000 1
F1 0.0000 0.0000 0.0000 1
Ir1 0.5000 0.5000 0.5000 1
Pd1 0.0000 0.5000 0.0000 1
```

(4)
# Sr2B5H3O11

A relaxed structure of Sr2B5H3O11 (GGA-PBE, Alexandria).

The structure in CIF format:
```
data_Sr2B5H3O11
_chemical_formula_sum 'Sr4 B10 H6 O22'
_space_group_name_H-M_alt 'P 1'
_space_group_IT_number 1
_cell_length_a 6.5824
_cell_length_b 6.5995
_cell_length_c 11.5039
_cell_angle_alpha 94.04
_cell_angle_beta 88.71
_cell_angle_gamma 118.74
loop_
_space_group_symop_operation_xyz
'x,y,z'
loop_
_atom_site_label
_atom_site_fract_x
_atom_site_fract_y
_atom_site_fract_z
_atom_site_occupancy
O1 0.9875 0.7066 0.1877 1
O2 0.6846 0.7842 0.2578 1
O3 0.2754 0.0933 0.6693 1
O4 0.7867 0.4368 0.7584 1
O5 0.3038 0.1193 0.8757 1
O6 0.8743 0.8017 0.7012 1
O7 0.1834 0.7437 0.7692 1
O8 0.5745 0.0252 0.7594 1
O9 0.4718 0.5371 0.5178 1
O10 0.6176 0.6772 0.9508 1
O11 0.2106 0.5123 0.0030 1
O12 0.1529 0.0261 0.0628 1
O13 0.9801 0.0335 0.5332 1
O14 0.8011 0.1634 0.1803 1
O15 0.7373 0.2102 0.5773 1
O16 0.2254 0.6787 0.4358 1
O17 0.7849 0.1246 0.3850 1
O18 0.6013 0.3996 0.2257 1
O19 0.5631 0.1880 0.0369 1
O20 0.0866 0.0949 0.2697 1
O21 0.9881 0.2107 0.7286 1
O22 0.3832 0.9887 0.2141 1
B1 0.3431 0.0014 0.7659 1
B2 0.8401 0.0397 0.2722 1
B3 0.5912 0.1819 0.1680 1
B4 0.7706 0.2181 0.7059 1
B5 0.0307 0.0364 0.6610 1
B6 0.3442 0.1086 0.9914 1
B7 0.1554 0.9608 0.1851 1
B8 0.7633 0.6302 0.2230 1
B9 0.9539 0.6602 0.7415 1
B10 0.8405 0.1214 0.4987 1
H1 0.4295 0.6032 0.9801 1
H2 0.6711 0.5703 0.9725 1
H3 0.6326 0.6564 0.5093 1
H4 0.0762 0.6007 0.4738 1
H5 0.3606 0.6064 0.4822 1
H6 0.1632 0.6278 0.9897 1
Sr1 0.3796 0.1154 0.4405 1
Sr2 0.8779 0.1102 0.9461 1
Sr3 0.2438 0.5314 0.2267 1
Sr4 0.4293 0.5322 0.7437 1
```

Which raw total energy belongs to each record? In order, -1.783 -3.686 -4.359 -7.179 eV per atom.
Which magnetic moment belongs to each record? In order, 0.215 0.000 0.000 0.000 μB per atom.